A plane-wave DFT calculation with PBE with a Hubbard U was carried out for a relaxed structure of ZnMoF6.

Values from the calculation:
Its density of states at the Fermi level is 0.00 states/eV/cell. Its crystal system is monoclinic. The theoretical density comes out at 4.0 g/cm³. The total moment is 0.250 μB per atom. The electronic total energy is -4.8477 eV/atom.

a = 5.1295 Å, b = 5.1295 Å, c = 5.1792 Å
α = 96.47°, β = 96.47°, γ = 119.38°
Closest atoms and distances in Å follow each position.
Fractional coordinates of all 8 atoms:
Zn (0.0000, 0.0000, 0.0000)  6 F 2.07-2.08
Mo (0.5000, 0.5000, 0.5000)  6 F 1.98-2.02
F (0.2552, 0.2552, 0.7440)  1 Mo 1.98, 1 Zn 2.07
F (0.3978, 0.1126, 0.2553)  1 Mo 2.02, 1 Zn 2.08
F (0.7448, 0.7448, 0.2560)  1 Mo 1.98, 1 Zn 2.07
F (0.8874, 0.6022, 0.7447)  1 Mo 2.02, 1 Zn 2.08
F (0.6022, 0.8874, 0.7447)  1 Mo 2.02, 1 Zn 2.08
F (0.1126, 0.3978, 0.2553)  1 Mo 2.02, 1 Zn 2.08

=====

A plane-wave DFT calculation with PBE with a Hubbard U was carried out for a relaxed structure of Zn4MoF12.

Values from the calculation:
Its density of states at the Fermi level is 0.00 states/eV/cell. Its crystal system is orthorhombic. The theoretical density comes out at 3.9 g/cm³. The total moment is 0.118 μB per atom. The electronic total energy is -4.3244 eV/atom.

a = 6.8591 Å, b = 6.8591 Å, c = 6.8591 Å
α = 106.72°, β = 115.22°, γ = 106.63°
Closest atoms and distances in Å follow each position.
Fractional coordinates of all 17 atoms:
Zn (0.5000, 0.0000, 0.0000)  6 F 1.93-2.16
Zn (0.0000, 0.5000, 0.0000)  6 F 1.93-2.16
Zn (0.0000, 0.0000, 0.5000)  6 F 1.93-2.16
Zn (0.5000, 0.5000, 0.5000)  6 F 1.93-2.16
Mo (0.0000, 0.5000, 0.5000)  8 F 2.13
F (0.1681, 0.7120, 0.8801)  1 Mo 2.13, 2 Zn 2.16
F (0.0438, 0.7118, 0.3320)  1 Mo 2.13, 2 Zn 2.16
F (0.3798, 0.7118, 0.6680)  1 Mo 2.13, 2 Zn 2.16
F (0.3014, 0.1034, 0.8020)  2 Zn 1.93
F (0.6986, 0.5006, 0.8020)  2 Zn 1.93
F (0.1681, 0.2880, 0.4561)  1 Mo 2.13, 2 Zn 2.16
F (0.8319, 0.7120, 0.5439)  1 Mo 2.13, 2 Zn 2.16
F (0.6986, 0.8966, 0.1980)  2 Zn 1.93
F (0.3014, 0.4994, 0.1980)  2 Zn 1.93
F (0.6202, 0.2882, 0.3320)  1 Mo 2.13, 2 Zn 2.16
F (0.9562, 0.2882, 0.6680)  1 Mo 2.13, 2 Zn 2.16
F (0.8319, 0.2880, 0.1199)  1 Mo 2.13, 2 Zn 2.16